Entry 1:
# ThNpIr4

Crystalline ThNpIr4 at its relaxed geometry (PBE, the Alexandria database).

The space group is F-43m (No. 216) and the conventional cell measures 7.640, 7.640 and 7.640 Å, with angles of 90.00, 90.00 and 90.00 degrees. The asymmetric unit holds Th at (0.000, 0.000, 0.000), Np at (0.250, 0.250, 0.750) and Ir at (0.124, 0.124, 0.376).

The size of the total moment comes out at 14.57 μB per cell. The calculation puts the total energy at -237.973 eV/cell. The value obtained for the formation energy is -0.615 eV per atom.

Entry 2:
# CsRb4I4

Crystalline CsRb4I4 at its relaxed geometry (PBE, the Alexandria database).

The space group is C2/m (No. 12) and the conventional cell measures 17.890, 5.279 and 13.191 Å, with angles of 90.00, 119.76 and 90.00 degrees. The asymmetric unit holds Cs at (0.000, 0.000, 0.000), Rb at (0.098, 0.500, 0.400), Rb at (0.203, 0.000, 0.798), I at (0.105, 0.500, 0.895) and I at (0.202, 0.000, 0.308).

The size of the total moment comes out at 0.08 μB per cell. The calculation puts the total energy at -45.352 eV/cell. As for the formation energy (no corrections): -1.306 eV/atom.

Entry 3:
# La2SmDy4Th

Crystalline La2SmDy4Th at its relaxed geometry (PBE, the Alexandria database).

The space group is P2/m (No. 10) and the conventional cell measures 5.156, 5.160 and 9.978 Å, with angles of 90.00, 90.05 and 90.00 degrees. The asymmetric unit holds La at (0.000, 0.000, 0.000), La at (0.500, 0.500, 0.500), Sm at (0.000, 0.000, 0.500), Dy at (0.000, 0.500, 0.245), Dy at (0.500, 0.000, 0.245) and Th at (0.500, 0.500, 0.000).

The size of the total moment comes out at 0.00 μB per cell. The calculation puts the total energy at -40.152 eV/cell. The value obtained for the formation energy is 0.031 eV per atom.

Entry 4:
# ReP3Br

Crystalline ReP3Br at its relaxed geometry (PBE, the Alexandria database).

The space group is Pm-3m (No. 221) and the conventional cell measures 4.550, 4.550 and 4.550 Å, with angles of 90.00, 90.00 and 90.00 degrees. The asymmetric unit holds Re at (0.000, 0.000, 0.000), P at (0.000, 0.500, 0.500) and Br at (0.500, 0.500, 0.500).

The size of the total moment comes out at 0.00 μB per cell. The calculation puts the total energy at -19.314 eV/cell. As for the formation energy (no corrections): 2.207 eV/atom. For the energy relative to the lowest polymorph listed for this composition, the calculation gives 165.7 kJ per mole of atoms.

Entry 5:
# La3AsBr3

Crystalline La3AsBr3 at its relaxed geometry (PBE, the Alexandria database).

The space group is I4_132 (No. 214) and the conventional cell measures 12.227, 12.227 and 12.227 Å, with angles of 90.00, 90.00 and 90.00 degrees. The asymmetric unit holds La at (0.115, 0.365, 0.125), As at (0.125, 0.125, 0.125) and Br at (0.120, 0.130, 0.625).

The size of the total moment comes out at 0.00 μB per cell. The calculation puts the total energy at -290.806 eV/cell. As for the formation energy (no corrections): -1.700 eV/atom.

Entry 6:
# CePr6Y

Crystalline CePr6Y at its relaxed geometry (PBE, the Alexandria database).

The space group is Fmmm (No. 69) and the conventional cell measures 7.370, 10.359 and 14.721 Å, with angles of 90.00, 90.00 and 90.00 degrees. The asymmetric unit holds Ce at (0.000, 0.000, 0.000), Pr at (0.000, 0.000, 0.248), Pr at (0.250, 0.250, 0.121) and Y at (0.000, 0.000, 0.500).

The size of the total moment comes out at 4.83 μB per cell. The calculation puts the total energy at -162.755 eV/cell. The value obtained for the formation energy is 0.048 eV per atom.

Entry 7:
# Hf2GaPt9

Crystalline Hf2GaPt9 at its relaxed geometry (PBE, the Alexandria database).

The space group is P4/mmm (No. 123) and the conventional cell measures 4.010, 4.010 and 11.978 Å, with angles of 90.00, 90.00 and 90.00 degrees. The asymmetric unit holds Hf at (0.000, 0.000, 0.171), Ga at (0.000, 0.000, 0.500), Pt at (0.000, 0.500, 0.000), Pt at (0.000, 0.500, 0.336), Pt at (0.500, 0.500, 0.168) and Pt at (0.500, 0.500, 0.500).

The size of the total moment comes out at 0.00 μB per cell. The calculation puts the total energy at -88.277 eV/cell. The value obtained for the formation energy is -0.915 eV per atom.

Entry 8:
# Ti2CuReH

Crystalline Ti2CuReH at its relaxed geometry (PBE, the Alexandria database).

The space group is P4/mmm (No. 123) and the conventional cell measures 4.143, 4.143 and 3.628 Å, with angles of 90.00, 90.00 and 90.00 degrees. The asymmetric unit holds Ti at (0.000, 0.500, 0.000), Cu at (0.000, 0.000, 0.500), Re at (0.500, 0.500, 0.500) and H at (0.500, 0.500, 0.000).

The size of the total moment comes out at 0.00 μB per cell. The calculation puts the total energy at -36.438 eV/cell. For the energy relative to the lowest polymorph listed for this composition, the calculation gives 9.1 kJ per mole of atoms.

Entry 9:
# NpCdAu4

Crystalline NpCdAu4 at its relaxed geometry (PBE, the Alexandria database).

The space group is P2/m (No. 10) and the conventional cell measures 2.979, 5.005 and 8.235 Å, with angles of 90.00, 97.22 and 90.00 degrees. The asymmetric unit holds Np at (0.000, 0.000, 0.000), Cd at (0.000, 0.500, 0.500), Au at (0.351, 0.000, 0.658) and Au at (0.458, 0.500, 0.828).

The size of the total moment comes out at 4.46 μB per cell. The calculation puts the total energy at -27.924 eV/cell. The value obtained for the formation energy is -0.160 eV per atom. For the energy relative to the lowest polymorph listed for this composition, the calculation gives 0.0 kJ per mole of atoms.

Entry 10:
# PrSm4Hg5

Crystalline PrSm4Hg5 at its relaxed geometry (PBE, the Alexandria database).

The space group is P4/mmm (No. 123) and the conventional cell measures 3.818, 3.818 and 18.954 Å, with angles of 90.00, 90.00 and 90.00 degrees. The asymmetric unit holds Pr at (0.000, 0.000, 0.000), Sm at (0.000, 0.000, 0.203), Sm at (0.000, 0.000, 0.401), Hg at (0.500, 0.500, 0.105), Hg at (0.500, 0.500, 0.302) and Hg at (0.500, 0.500, 0.500).

The size of the total moment comes out at 2.08 μB per cell. The calculation puts the total energy at -29.886 eV/cell. The value obtained for the formation energy is -0.472 eV per atom.

Entry 11:
# LiTiPt

Crystalline LiTiPt at its relaxed geometry (PBE, the Alexandria database).

The space group is I4mm (No. 107) and the conventional cell measures 3.315, 3.315 and 8.232 Å, with angles of 90.00, 90.00 and 90.00 degrees. The asymmetric unit holds Li at (0.000, 0.000, 0.000), Ti at (0.000, 0.000, 0.684) and Pt at (0.000, 0.000, 0.333).

The size of the total moment comes out at 0.00 μB per cell. The calculation puts the total energy at -34.901 eV/cell. The value obtained for the formation energy is -0.534 eV per atom. For the energy relative to the lowest polymorph listed for this composition, the calculation gives 11.1 kJ per mole of atoms.

Entry 12:
# SiPCO2

Crystalline SiPCO2 at its relaxed geometry (PBE, the Alexandria database).

The space group is P4/mmm (No. 123) and the conventional cell measures 3.480, 3.480 and 4.008 Å, with angles of 90.00, 90.00 and 90.00 degrees. The asymmetric unit holds Si at (0.000, 0.000, 0.000), P at (0.500, 0.500, 0.000), C at (0.500, 0.500, 0.500) and O at (0.000, 0.500, 0.500).

The size of the total moment comes out at 0.00 μB per cell. The calculation puts the total energy at -25.709 eV/cell. As for the formation energy (no corrections): 0.853 eV/atom. For the energy relative to the lowest polymorph listed for this composition, the calculation gives 88.1 kJ per mole of atoms.

Entry 13:
# RbSiB

Crystalline RbSiB at its relaxed geometry (PBE, the Alexandria database).

The space group is Pmmn (No. 59, origin choice 2) and the conventional cell measures 3.487, 4.199 and 11.055 Å, with angles of 90.00, 90.00 and 90.00 degrees. The asymmetric unit holds Rb at (0.250, 0.250, 0.211), Si at (0.250, 0.250, 0.541) and B at (0.250, 0.750, 0.563).

The size of the total moment comes out at 0.00 μB per cell. The calculation puts the total energy at -23.668 eV/cell. As for the formation energy (no corrections): 0.411 eV/atom.

Entry 14:
# GaAsPd3

Crystalline GaAsPd3 at its relaxed geometry (PBE, the Alexandria database).

The space group is Pm-3m (No. 221) and the conventional cell measures 4.676, 4.676 and 4.676 Å, with angles of 90.00, 90.00 and 90.00 degrees. The asymmetric unit holds Ga at (0.000, 0.000, 0.000), As at (0.500, 0.500, 0.500) and Pd at (0.000, 0.500, 0.500).

The size of the total moment comes out at 0.00 μB per cell. The calculation puts the total energy at -22.640 eV/cell. The value obtained for the formation energy is 0.123 eV per atom. For the energy relative to the lowest polymorph listed for this composition, the calculation gives 56.2 kJ per mole of atoms.

Entry 15:
# ScMn2Se

Crystalline ScMn2Se at its relaxed geometry (PBE, the Alexandria database).

The space group is C2/m (No. 12) and the conventional cell measures 5.408, 9.426 and 3.316 Å, with angles of 90.00, 126.76 and 90.00 degrees. The asymmetric unit holds Sc at (0.000, 0.000, 0.000), Mn at (0.250, 0.250, 0.500) and Se at (0.000, 0.500, 0.000).

The size of the total moment comes out at 11.89 μB per cell. The calculation puts the total energy at -56.671 eV/cell. As for the formation energy (no corrections): -0.045 eV/atom.

Entry 16:
# LaSn2N

Crystalline LaSn2N at its relaxed geometry (PBE, the Alexandria database).

The space group is Fm-3m (No. 225) and the conventional cell measures 7.263, 7.263 and 7.263 Å, with angles of 90.00, 90.00 and 90.00 degrees. The asymmetric unit holds La at (0.000, 0.000, 0.000), Sn at (0.250, 0.250, 0.250) and N at (0.000, 0.000, 0.500).

The size of the total moment comes out at 0.00 μB per cell. The calculation puts the total energy at -72.250 eV/cell. As for the formation energy (no corrections): 0.799 eV/atom. For the energy relative to the lowest polymorph listed for this composition, the calculation gives 79.7 kJ per mole of atoms.

Entry 17:
# ScWBr2

Crystalline ScWBr2 at its relaxed geometry (PBE, the Alexandria database).

The space group is Immm (No. 71) and the conventional cell measures 3.405, 4.375 and 14.464 Å, with angles of 90.00, 90.00 and 90.00 degrees. The asymmetric unit holds Sc at (0.000, 0.000, 0.000), W at (0.000, 0.000, 0.500) and Br at (0.000, 0.500, 0.140).

The size of the total moment comes out at 0.73 μB per cell. The calculation puts the total energy at -45.693 eV/cell. As for the formation energy (no corrections): -0.054 eV/atom. For the energy relative to the lowest polymorph listed for this composition, the calculation gives 26.7 kJ per mole of atoms.

Entry 18:
# Er2MgPd8

Crystalline Er2MgPd8 at its relaxed geometry (PBE, the Alexandria database).

The space group is C2/m (No. 12) and the conventional cell measures 14.551, 4.192 and 6.530 Å, with angles of 90.00, 107.57 and 90.00 degrees. The asymmetric unit holds Er at (0.216, 0.000, 0.167), Mg at (0.000, 0.500, 0.500), Pd at (0.035, 0.000, 0.224), Pd at (0.092, 0.500, 0.945), Pd at (0.142, 0.000, 0.680) and Pd at (0.170, 0.500, 0.404).

The size of the total moment comes out at 0.00 μB per cell. The calculation puts the total energy at -119.370 eV/cell. The value obtained for the formation energy is -0.675 eV per atom.

Entry 19:
# Ce3Tl3BiS8

Crystalline Ce3Tl3BiS8 at its relaxed geometry (PBE, the Alexandria database).

The space group is R-3m (No. 166, hexagonal axes) and the conventional cell measures 8.3185, 8.3185 and 22.3807 Å, with angles of 90.00, 90.00 and 120.00 degrees. The asymmetric unit holds Ce at (0.0000, 0.5000, 0.0000), Tl at (0.0000, 0.5000, 0.5000), Bi at (0.0000, 0.0000, 0.0000), S at (0.0000, 0.0000, 0.2663) and S at (0.0035, 0.5018, 0.2673).

The size of the total moment comes out at 6.05 μB per cell. The calculation puts the total energy at -240.911 eV/cell. As for the formation energy (no corrections): -1.234 eV/atom.

Entry 20:
# SiTcPt2

Crystalline SiTcPt2 at its relaxed geometry (PBE, the Alexandria database).

The space group is Pmmm (No. 47) and the conventional cell measures 3.766, 3.806 and 4.090 Å, with angles of 90.00, 90.00 and 90.00 degrees. The asymmetric unit holds Si at (0.000, 0.000, 0.000), Tc at (0.500, 0.500, 0.000), Pt at (0.000, 0.500, 0.500) and Pt at (0.500, 0.000, 0.500).

The size of the total moment comes out at 0.79 μB per cell. The calculation puts the total energy at -28.681 eV/cell. As for the formation energy (no corrections): -0.203 eV/atom.

Entry 21:
# Na2ThIO6

Crystalline Na2ThIO6 at its relaxed geometry (PBE, the Alexandria database).

The space group is P4mm (No. 99) and the conventional cell measures 6.035, 6.035 and 4.486 Å, with angles of 90.00, 90.00 and 90.00 degrees. The asymmetric unit holds Na at (0.000, 0.500, 0.000), Th at (0.000, 0.000, 0.613), I at (0.500, 0.500, 0.618), O at (0.000, 0.000, 0.123), O at (0.269, 0.269, 0.672) and O at (0.500, 0.500, 0.208).

The size of the total moment comes out at 0.00 μB per cell. The calculation puts the total energy at -58.344 eV/cell. As for the formation energy (no corrections): -1.699 eV/atom.

Entry 22:
# Cd2Ag2I

Crystalline Cd2Ag2I at its relaxed geometry (PBE, the Alexandria database).

The space group is P4/mbm (No. 127) and the conventional cell measures 7.973, 7.973 and 3.800 Å, with angles of 90.00, 90.00 and 90.00 degrees. The asymmetric unit holds Cd at (0.163, 0.337, 0.000), Ag at (0.129, 0.629, 0.500) and I at (0.000, 0.000, 0.500).

The size of the total moment comes out at 0.00 μB per cell. The calculation puts the total energy at -17.056 eV/cell. As for the formation energy (no corrections): 0.111 eV/atom. For the energy relative to the lowest polymorph listed for this composition, the calculation gives 6.3 kJ per mole of atoms.

Entry 23:
# TcIr8Rh3

Crystalline TcIr8Rh3 at its relaxed geometry (PBE, the Alexandria database).

The space group is I4/mmm (No. 139) and the conventional cell measures 5.939, 5.939 and 11.630 Å, with angles of 90.00, 90.00 and 90.00 degrees. The asymmetric unit holds Tc at (0.000, 0.000, 0.000), Ir at (0.248, 0.248, 0.124), Rh at (0.000, 0.000, 0.500) and Rh at (0.000, 0.500, 0.250).

The size of the total moment comes out at 0.00 μB per cell. The calculation puts the total energy at -191.034 eV/cell. The value obtained for the formation energy is 0.649 eV per atom.

Entry 24:
# LiTi3Ni

Crystalline LiTi3Ni at its relaxed geometry (PBE, the Alexandria database).

The space group is Pm-3m (No. 221) and the conventional cell measures 4.607, 4.607 and 4.607 Å, with angles of 90.00, 90.00 and 90.00 degrees. The asymmetric unit holds Li at (0.000, 0.000, 0.000), Ti at (0.000, 0.500, 0.500) and Ni at (0.500, 0.500, 0.500).

The size of the total moment comes out at 2.20 μB per cell. The calculation puts the total energy at -29.031 eV/cell. The value obtained for the formation energy is 0.470 eV per atom. For the energy relative to the lowest polymorph listed for this composition, the calculation gives 0.0 kJ per mole of atoms.